Record 1
A relaxed structure of MgTePb. Source: the Alexandria database, functional PBE.

Unit cell a=5.079 b=5.079 c=5.079 alpha=60.00 beta=60.00 gamma=60.00
Atoms (fractional coordinates):
Te 0.500 0.500 0.500
Pb 0.000 0.000 0.000
Mg 0.750 0.750 0.750

## Properties
The energy above the most stable polymorph in this dataset comes out at 238 meV/atom. For the formation energy without anion corrections, the calculation gives -114 meV/atom. The calculation puts the raw total energy at -2.929 eV per atom. For the density, the calculation gives 6.437 Mg/m³.

***

Record 2
A relaxed structure of Ba2LiTiTe. Source: the Alexandria database, functional PBE.

Unit cell a=6.292 b=5.045 c=6.292 alpha=90.00 beta=90.00 gamma=90.00
Site moments in Bohr magnetons follow the coordinates.
Atoms (fractional coordinates):
Ba 0.500 0.000 0.000  0.23
Ba 0.000 0.000 0.500  0.26
Ti 0.000 0.000 0.000  2.30
Li 0.000 0.500 0.000  0.13
Te 0.500 0.500 0.500  0.05

## Properties
For the formation energy without anion corrections, the calculation gives 216 meV/atom. The calculation puts the raw total energy at -3.143 eV per atom. For the density, the calculation gives 3.801 Mg/m³.

***

Record 3
A relaxed structure of Re2PdBr. Source: the Alexandria database, functional PBE.

Unit cell a=4.446 b=4.446 c=4.446 alpha=60.00 beta=60.00 gamma=60.00
Atoms (fractional coordinates):
Re 0.250 0.250 0.250
Re 0.750 0.750 0.750
Pd 0.500 0.500 0.500
Br 0.000 0.000 0.000

## Properties
The energy above the most stable polymorph in this dataset comes out at 146 meV/atom. For the formation energy without anion corrections, the calculation gives 1191 meV/atom. The calculation puts the raw total energy at -6.749 eV per atom. For the density, the calculation gives 14.931 Mg/m³.

***

Record 4
A relaxed structure of AlCu2AuSe4. Source: the Alexandria database, functional PBE.

Unit cell a=5.720 b=5.720 c=6.904 alpha=114.47 beta=114.47 gamma=90.00
Atoms (fractional coordinates):
Al 0.500 0.500 0.000
Se 0.870 0.395 0.265
Se 0.130 0.130 0.735
Se 0.395 0.870 0.265
Se 0.605 0.605 0.735
Au 0.000 0.000 0.000
Cu 0.250 0.750 0.500
Cu 0.750 0.250 0.500

## Properties
For the formation energy without anion corrections, the calculation gives -321 meV/atom. The calculation puts the raw total energy at -3.965 eV per atom. For the density, the calculation gives 6.050 Mg/m³.

***

Record 5
A relaxed structure of Mg2AlIn. Source: the Alexandria database, functional PBE.

Unit cell a=3.482 b=3.482 c=7.143 alpha=90.00 beta=90.00 gamma=90.00
Atoms (fractional coordinates):
In 0.500 0.500 0.750
Mg 0.000 0.000 0.484
Mg 0.000 0.000 0.016
Al 0.500 0.500 0.250

## Properties
The calculation puts the energy of formation from the pure elements at 0.009 eV per atom. The calculation puts the raw total energy at -2.408 eV per atom. For the density, the calculation gives 3.650 Mg/m³.

***

Record 6
A relaxed structure of Ho4Tl2Hg3. Source: the Alexandria database, functional PBE.

Unit cell a=5.198 b=5.121 c=10.287 alpha=91.76 beta=89.96 gamma=59.53
Atoms (fractional coordinates):
Hg 0.672 0.657 0.562
Hg 0.000 0.000 0.000
Hg 0.328 0.343 0.438
Ho 0.993 0.013 0.332
Ho 0.670 0.660 0.885
Ho 0.330 0.340 0.115
Ho 0.007 0.987 0.668
Tl 0.662 0.676 0.214
Tl 0.338 0.324 0.786

## Properties
The calculation puts the energy of formation from the pure elements at -0.323 eV per atom. The calculation puts the raw total energy at -2.984 eV per atom. For the density, the calculation gives 11.761 Mg/m³.

***

Copy entry 1 word for word.
A relaxed structure of MgTePb. Source: the Alexandria database, functional PBE.

Unit cell a=5.079 b=5.079 c=5.079 alpha=60.00 beta=60.00 gamma=60.00
Atoms (fractional coordinates):
Te 0.500 0.500 0.500
Pb 0.000 0.000 0.000
Mg 0.750 0.750 0.750

## Properties
The energy above the most stable polymorph in this dataset comes out at 238 meV/atom. For the formation energy without anion corrections, the calculation gives -114 meV/atom. The calculation puts the raw total energy at -2.929 eV per atom. For the density, the calculation gives 6.437 Mg/m³.

***

Copy entry 4 word for word.
A relaxed structure of AlCu2AuSe4. Source: the Alexandria database, functional PBE.

Unit cell a=5.720 b=5.720 c=6.904 alpha=114.47 beta=114.47 gamma=90.00
Atoms (fractional coordinates):
Al 0.500 0.500 0.000
Se 0.870 0.395 0.265
Se 0.130 0.130 0.735
Se 0.395 0.870 0.265
Se 0.605 0.605 0.735
Au 0.000 0.000 0.000
Cu 0.250 0.750 0.500
Cu 0.750 0.250 0.500

## Properties
For the formation energy without anion corrections, the calculation gives -321 meV/atom. The calculation puts the raw total energy at -3.965 eV per atom. For the density, the calculation gives 6.050 Mg/m³.

***

Q: Which formula does entry 4 have?
A: AlCu2AuSe4